# GGA-PBE Na3TmNp3Se8, relaxed
# * formation energy without anion corrections: -1.310 eV/atom
# * electronic total energy: -6.318 eV/atom
# * SG: No. 166
data_Na3TmNp3Se8
_cell_length_a 8.309
_cell_length_b 8.308
_cell_length_c 8.485
_cell_angle_alpha 119.33
_cell_angle_beta 90.00
_cell_angle_gamma 120.00
_symmetry_space_group_name_H-M 'P 1'
_symmetry_Int_Tables_number 1
loop_
_symmetry_equiv_pos_as_xyz
'x,y,z'
loop_
_atom_site_label
_atom_site_fract_x
_atom_site_fract_y
_atom_site_fract_z
Na1 0.000 0.000 0.000
Na2 0.000 0.500 0.000
Na3 0.500 0.500 0.000
Tm1 0.000 0.000 0.500
Np1 0.500 0.000 0.500
Np2 0.500 0.500 0.500
Np3 0.000 0.500 0.500
Se1 0.257 0.514 0.270
Se2 0.743 0.486 0.730
Se3 0.760 0.520 0.275
Se4 0.240 0.480 0.725
Se5 0.760 0.015 0.275
Se6 0.240 0.985 0.725
Se7 0.256 0.015 0.275
Se8 0.744 0.985 0.725

# GGA-PBE Na4Np3USe8, relaxed
# * formation energy without anion corrections: -1.204 eV/atom
# * electronic total energy: -6.408 eV/atom
# * SG: No. 166
data_Na4Np3USe8
_cell_length_a 8.344
_cell_length_b 8.503
_cell_length_c 8.345
_cell_angle_alpha 119.40
_cell_angle_beta 120.00
_cell_angle_gamma 90.00
_symmetry_space_group_name_H-M 'P 1'
_symmetry_Int_Tables_number 1
loop_
_symmetry_equiv_pos_as_xyz
'x,y,z'
loop_
_atom_site_label
_atom_site_fract_x
_atom_site_fract_y
_atom_site_fract_z
Na1 0.500 0.000 0.000
Na2 0.500 0.000 0.500
Na3 0.000 0.000 0.000
Na4 0.000 0.000 0.500
Np1 0.500 0.500 0.000
Np2 0.500 0.500 0.500
Np3 0.000 0.500 0.500
U1 0.000 0.500 0.000
Se1 0.243 0.732 0.990
Se2 0.243 0.732 0.487
Se3 0.256 0.268 0.512
Se4 0.747 0.732 0.990
Se5 0.253 0.268 0.010
Se6 0.744 0.732 0.488
Se7 0.757 0.268 0.513
Se8 0.757 0.268 0.010

# GGA-PBE Na3Np3USe8, relaxed
# * formation energy without anion corrections: -1.222 eV/atom
# * electronic total energy: -6.685 eV/atom
# * SG: No. 12
data_Na3Np3USe8
_cell_length_a 8.352
_cell_length_b 8.352
_cell_length_c 8.510
_cell_angle_alpha 119.39
_cell_angle_beta 90.00
_cell_angle_gamma 120.00
_symmetry_space_group_name_H-M 'P 1'
_symmetry_Int_Tables_number 1
loop_
_symmetry_equiv_pos_as_xyz
'x,y,z'
loop_
_atom_site_label
_atom_site_fract_x
_atom_site_fract_y
_atom_site_fract_z
Na1 0.000 0.000 0.000
Na2 0.000 0.500 0.000
Na3 0.500 0.500 0.000
Np1 0.500 0.000 0.500
Np2 0.500 0.500 0.500
Np3 0.000 0.500 0.500
U1 0.000 0.000 0.500
Se1 0.256 0.513 0.269
Se2 0.744 0.487 0.731
Se3 0.760 0.519 0.274
Se4 0.240 0.481 0.726
Se5 0.760 0.014 0.275
Se6 0.240 0.986 0.725
Se7 0.254 0.014 0.275
Se8 0.746 0.986 0.725

# GGA-PBE NaNp2USe4, relaxed
# * formation energy without anion corrections: -1.064 eV/atom
# * electronic total energy: -7.618 eV/atom
# * SG: No. 10
data_NaNp2USe4
_cell_length_a 4.057
_cell_length_b 7.164
_cell_length_c 7.179
_cell_angle_alpha 108.76
_cell_angle_beta 90.00
_cell_angle_gamma 90.00
_symmetry_space_group_name_H-M 'P 1'
_symmetry_Int_Tables_number 1
loop_
_symmetry_equiv_pos_as_xyz
'x,y,z'
loop_
_atom_site_label
_atom_site_fract_x
_atom_site_fract_y
_atom_site_fract_z
Na1 0.500 0.500 0.000
Np1 0.500 0.000 0.500
Np2 0.000 0.500 0.500
U1 0.000 0.000 0.000
Se1 0.500 0.250 0.249
Se2 0.500 0.750 0.751
Se3 0.000 0.247 0.748
Se4 0.000 0.753 0.252

# GGA-PBE Na3Np2USe6, relaxed
# * formation energy without anion corrections: -1.200 eV/atom
# * electronic total energy: -6.369 eV/atom
# * SG: No. 12
data_Na3Np2USe6
_cell_length_a 7.214
_cell_length_b 7.214
_cell_length_c 7.418
_cell_angle_alpha 99.33
_cell_angle_beta 99.33
_cell_angle_gamma 120.00
_symmetry_space_group_name_H-M 'P 1'
_symmetry_Int_Tables_number 1
loop_
_symmetry_equiv_pos_as_xyz
'x,y,z'
loop_
_atom_site_label
_atom_site_fract_x
_atom_site_fract_y
_atom_site_fract_z
Na1 0.167 0.833 0.500
Na2 0.833 0.167 0.500
Na3 0.500 0.500 0.500
Np1 0.333 0.667 0.000
Np2 0.667 0.333 0.000
U1 0.000 0.000 0.000
Se1 0.922 0.592 0.767
Se2 0.747 0.747 0.232
Se3 0.078 0.408 0.233
Se4 0.592 0.922 0.767
Se5 0.253 0.253 0.768
Se6 0.408 0.078 0.233

# GGA-PBE Na2Np2USe6, relaxed
# * formation energy without anion corrections: -1.192 eV/atom
# * electronic total energy: -6.712 eV/atom
# * SG: No. 12
data_Na2Np2USe6
_cell_length_a 7.209
_cell_length_b 7.209
_cell_length_c 7.419
_cell_angle_alpha 99.33
_cell_angle_beta 99.33
_cell_angle_gamma 119.86
_symmetry_space_group_name_H-M 'P 1'
_symmetry_Int_Tables_number 1
loop_
_symmetry_equiv_pos_as_xyz
'x,y,z'
loop_
_atom_site_label
_atom_site_fract_x
_atom_site_fract_y
_atom_site_fract_z
Na1 0.832 0.168 0.000
Na2 0.168 0.832 0.000
Np1 0.334 0.666 0.500
Np2 0.666 0.334 0.500
U1 0.000 0.000 0.500
Se1 0.748 0.748 0.727
Se2 0.074 0.405 0.726
Se3 0.252 0.252 0.273
Se4 0.405 0.074 0.726
Se5 0.926 0.595 0.274
Se6 0.595 0.926 0.274

# GGA-PBE Na2NpU2Se6, relaxed
# * formation energy without anion corrections: -1.191 eV/atom
# * electronic total energy: -6.560 eV/atom
# * SG: No. 12
data_Na2NpU2Se6
_cell_length_a 7.187
_cell_length_b 7.187
_cell_length_c 7.450
_cell_angle_alpha 99.19
_cell_angle_beta 99.19
_cell_angle_gamma 120.08
_symmetry_space_group_name_H-M 'P 1'
_symmetry_Int_Tables_number 1
loop_
_symmetry_equiv_pos_as_xyz
'x,y,z'
loop_
_atom_site_label
_atom_site_fract_x
_atom_site_fract_y
_atom_site_fract_z
Na1 0.834 0.166 0.000
Na2 0.166 0.834 0.000
Np1 0.000 0.000 0.500
U1 0.335 0.665 0.500
U2 0.665 0.335 0.500
Se1 0.741 0.741 0.729
Se2 0.073 0.411 0.727
Se3 0.259 0.259 0.271
Se4 0.411 0.073 0.727
Se5 0.927 0.589 0.273
Se6 0.589 0.927 0.273

# GGA-PBE Na2NpVSe4, relaxed
# * formation energy without anion corrections: -1.045 eV/atom
# * electronic total energy: -5.875 eV/atom
# * SG: No. 10
data_Na2NpVSe4
_cell_length_a 4.041
_cell_length_b 6.719
_cell_length_c 7.390
_cell_angle_alpha 108.36
_cell_angle_beta 90.00
_cell_angle_gamma 90.00
_symmetry_space_group_name_H-M 'P 1'
_symmetry_Int_Tables_number 1
loop_
_symmetry_equiv_pos_as_xyz
'x,y,z'
loop_
_atom_site_label
_atom_site_fract_x
_atom_site_fract_y
_atom_site_fract_z
Na1 0.500 0.000 0.500
Na2 0.000 0.500 0.500
Np1 0.500 0.500 0.000
V1 0.000 0.000 0.000
Se1 0.500 0.219 0.212
Se2 0.500 0.781 0.788
Se3 0.000 0.240 0.773
Se4 0.000 0.760 0.227

# GGA-PBE NaY2NpSe4, relaxed
# * formation energy without anion corrections: -1.539 eV/atom
# * electronic total energy: -6.680 eV/atom
# * SG: No. 10
data_NaY2NpSe4
_cell_length_a 4.099
_cell_length_b 7.167
_cell_length_c 7.157
_cell_angle_alpha 70.74
_cell_angle_beta 90.00
_cell_angle_gamma 90.00
_symmetry_space_group_name_H-M 'P 1'
_symmetry_Int_Tables_number 1
loop_
_symmetry_equiv_pos_as_xyz
'x,y,z'
loop_
_atom_site_label
_atom_site_fract_x
_atom_site_fract_y
_atom_site_fract_z
Na1 0.500 0.500 0.000
Y1 0.000 0.000 0.000
Y2 0.500 0.000 0.500
Np1 0.000 0.500 0.500
Se1 0.000 0.757 0.747
Se2 0.000 0.243 0.253
Se3 0.500 0.753 0.249
Se4 0.500 0.247 0.751

# GGA-PBE Na3YNp3Se8, relaxed
# * formation energy without anion corrections: -1.486 eV/atom
# * electronic total energy: -6.627 eV/atom
# * SG: No. 12
data_Na3YNp3Se8
_cell_length_a 8.353
_cell_length_b 8.351
_cell_length_c 8.538
_cell_angle_alpha 119.27
_cell_angle_beta 90.00
_cell_angle_gamma 120.01
_symmetry_space_group_name_H-M 'P 1'
_symmetry_Int_Tables_number 1
loop_
_symmetry_equiv_pos_as_xyz
'x,y,z'
loop_
_atom_site_label
_atom_site_fract_x
_atom_site_fract_y
_atom_site_fract_z
Na1 0.000 0.000 0.000
Na2 0.000 0.500 0.000
Na3 0.500 0.500 0.000
Y1 0.000 0.000 0.500
Np1 0.500 0.000 0.500
Np2 0.500 0.500 0.500
Np3 0.000 0.500 0.500
Se1 0.256 0.513 0.270
Se2 0.744 0.487 0.730
Se3 0.758 0.515 0.271
Se4 0.242 0.485 0.729
Se5 0.756 0.014 0.274
Se6 0.244 0.986 0.726
Se7 0.258 0.014 0.274
Se8 0.742 0.986 0.726

- Which of these has the highest formation energy without anion corrections?
  Na2NpVSe4

- What is the formation energy without anion corrections in the fifth record?
  -1.200 eV/atom

Please write out number 7 again, unchanged.
# GGA-PBE Na2NpU2Se6, relaxed
# * formation energy without anion corrections: -1.191 eV/atom
# * electronic total energy: -6.560 eV/atom
# * SG: No. 12
data_Na2NpU2Se6
_cell_length_a 7.187
_cell_length_b 7.187
_cell_length_c 7.450
_cell_angle_alpha 99.19
_cell_angle_beta 99.19
_cell_angle_gamma 120.08
_symmetry_space_group_name_H-M 'P 1'
_symmetry_Int_Tables_number 1
loop_
_symmetry_equiv_pos_as_xyz
'x,y,z'
loop_
_atom_site_label
_atom_site_fract_x
_atom_site_fract_y
_atom_site_fract_z
Na1 0.834 0.166 0.000
Na2 0.166 0.834 0.000
Np1 0.000 0.000 0.500
U1 0.335 0.665 0.500
U2 0.665 0.335 0.500
Se1 0.741 0.741 0.729
Se2 0.073 0.411 0.727
Se3 0.259 0.259 0.271
Se4 0.411 0.073 0.727
Se5 0.927 0.589 0.273
Se6 0.589 0.927 0.273

What did the tenth record say?
# GGA-PBE Na3YNp3Se8, relaxed
# * formation energy without anion corrections: -1.486 eV/atom
# * electronic total energy: -6.627 eV/atom
# * SG: No. 12
data_Na3YNp3Se8
_cell_length_a 8.353
_cell_length_b 8.351
_cell_length_c 8.538
_cell_angle_alpha 119.27
_cell_angle_beta 90.00
_cell_angle_gamma 120.01
_symmetry_space_group_name_H-M 'P 1'
_symmetry_Int_Tables_number 1
loop_
_symmetry_equiv_pos_as_xyz
'x,y,z'
loop_
_atom_site_label
_atom_site_fract_x
_atom_site_fract_y
_atom_site_fract_z
Na1 0.000 0.000 0.000
Na2 0.000 0.500 0.000
Na3 0.500 0.500 0.000
Y1 0.000 0.000 0.500
Np1 0.500 0.000 0.500
Np2 0.500 0.500 0.500
Np3 0.000 0.500 0.500
Se1 0.256 0.513 0.270
Se2 0.744 0.487 0.730
Se3 0.758 0.515 0.271
Se4 0.242 0.485 0.729
Se5 0.756 0.014 0.274
Se6 0.244 0.986 0.726
Se7 0.258 0.014 0.274
Se8 0.742 0.986 0.726